1.
An optimized crystal structure of Cs2Hg2Cl, computed with PBE-GGA.

Energy (eV for the cell shown): -8.51
D(E_F) (states/eV/cell): 1.7
E_form (uncorrected) (kJ/mol of atoms): -84.0
Symmetry: I4/mmm (139)
V (Å³ per atom): 41.52

a b c (Å): 4.447 4.447 10.958
angles (deg): 78.29 78.29 90.00
Positions (direct):
Cl 0.000 0.000 0.000
Cs 0.404 0.404 0.192
Cs 0.596 0.596 0.808
Hg 0.750 0.250 0.500
Hg 0.250 0.750 0.500

=====

2.
An optimized crystal structure of Cs2Hg2Cl, computed with PBE-GGA.

Energy (eV for the cell shown): -15.95
D(E_F) (states/eV/cell): 6.6
E_form (uncorrected) (kJ/mol of atoms): -73.7
Symmetry: P4/mbm (127)
V (Å³ per atom): 53.19

a b c (Å): 9.459 9.459 5.945
angles (deg): 90.00 90.00 90.00
Positions (direct):
Cl 0.500 0.500 0.000
Hg 0.615 0.115 0.500
Cs 0.804 0.304 0.000
Cl 0.000 0.000 0.000
Cs 0.696 0.804 0.000
Cs 0.304 0.196 0.000
Cs 0.196 0.696 0.000
Hg 0.885 0.615 0.500
Hg 0.115 0.385 0.500
Hg 0.385 0.885 0.500

=====

3.
An optimized crystal structure of CsHg3Cl3, computed with PBE-GGA.

Energy (eV for the cell shown): -21.11
D(E_F) (states/eV/cell): 15.9
E_form (uncorrected) (kJ/mol of atoms): -44.9
Symmetry: Pm-3n (223)
V (Å³ per atom): 42.66

a b c (Å): 8.421 8.421 8.421
angles (deg): 90.00 90.00 90.00
Positions (direct):
Cl 0.500 0.750 0.000
Hg 0.750 0.500 0.000
Cl 0.000 0.500 0.250
Hg 0.000 0.750 0.500
Cl 0.750 0.000 0.500
Cl 0.000 0.500 0.750
Cs 0.000 0.000 0.000
Hg 0.000 0.250 0.500
Cl 0.500 0.250 0.000
Hg 0.250 0.500 0.000
Cs 0.500 0.500 0.500
Cl 0.250 0.000 0.500
Hg 0.500 0.000 0.250
Hg 0.500 0.000 0.750

=====

4.
An optimized crystal structure of CsHgCl4, computed with PBE-GGA.

Energy (eV for the cell shown): -27.50
D(E_F) (states/eV/cell): 10.2
E_form (uncorrected) (kJ/mol of atoms): -83.8
Symmetry: Cmcm (63)
V (Å³ per atom): 32.44

a b c (Å): 5.543 7.405 9.882
angles (deg): 90.00 106.29 90.00
Positions (direct):
Cl 0.579 0.750 0.158
Cl 0.185 0.994 0.371
Cl 0.815 0.006 0.629
Hg 0.903 0.250 0.807
Cs 0.379 0.750 0.757
Cl 0.815 0.494 0.629
Hg 0.097 0.750 0.193
Cl 0.185 0.506 0.371
Cl 0.000 0.000 0.000
Cs 0.621 0.250 0.243
Cl 0.421 0.250 0.842
Cl 0.000 0.500 0.000

=====

5.
An optimized crystal structure of Cs2HoHgCl6, computed with PBE-GGA.

Energy (eV for the cell shown): -70.79
D(E_F) (states/eV/cell): 9.5
E_form (uncorrected) (kJ/mol of atoms): -171.0
Symmetry: Pmmn (59)
V (Å³ per atom): 35.06

a b c (Å): 7.922 7.917 11.181
angles (deg): 90.00 90.00 90.00
Positions (direct):
Cl 0.266 0.485 0.500
Cl 0.235 0.985 0.000
Cl 0.000 0.751 0.765
Cs 0.000 0.249 0.750
Cl 0.234 0.515 0.000
Cl 0.500 0.249 0.265
Cl 0.265 0.015 0.500
Cl 0.735 0.015 0.500
Cl 0.500 0.249 0.735
Cs 0.500 0.751 0.750
Ho 0.500 0.250 0.500
Hg 0.000 0.750 0.500
Cs 0.000 0.249 0.250
Ho 0.000 0.750 0.000
Cl 0.000 0.751 0.235
Cl 0.766 0.515 0.000
Hg 0.500 0.250 0.000
Cs 0.500 0.751 0.250
Cl 0.734 0.485 0.500
Cl 0.765 0.985 0.000

=====

6.
An optimized crystal structure of CsHoHg2Cl8, computed with PBE-GGA.

Energy (eV for the cell shown): -37.29
D(E_F) (states/eV/cell): 0.0
E_form (uncorrected) (kJ/mol of atoms): -132.5
Symmetry: P-1 (2)
V (Å³ per atom): 33.99

a b c (Å): 6.658 7.106 9.663
angles (deg): 66.56 77.29 80.91
Positions (direct):
Hg 0.539 0.536 0.270
Hg 0.461 0.464 0.730
Cl 0.873 0.282 0.753
Cl 0.557 0.740 0.493
Cl 0.773 0.179 0.173
Cl 0.127 0.718 0.247
Cs 0.000 0.000 0.500
Cl 0.443 0.260 0.507
Cl 0.691 0.770 0.025
Cl 0.227 0.821 0.827
Ho 0.000 0.000 0.000
Cl 0.309 0.230 0.975

=====

7.
An optimized crystal structure of CsHoHgCl6, computed with PBE-GGA.

Energy (eV for the cell shown): -31.95
D(E_F) (states/eV/cell): 0.0
E_form (uncorrected) (kJ/mol of atoms): -162.3
Symmetry: P312 (149)
V (Å³ per atom): 36.77

a b c (Å): 7.045 7.045 7.700
angles (deg): 90.00 89.99 60.00
Positions (direct):
Cs 0.000 0.000 0.000
Cl 0.386 0.622 0.299
Cl 0.386 0.992 0.701
Cl 0.622 0.992 0.299
Cl 0.622 0.386 0.701
Cl 0.992 0.622 0.701
Hg 0.333 0.333 0.500
Ho 0.667 0.667 0.500
Cl 0.992 0.386 0.299

=====

8.
An optimized crystal structure of Cs2HgICl, computed with PBE-GGA.

Energy (eV for the cell shown): -11.50
D(E_F) (states/eV/cell): 0.0
E_form (uncorrected) (kJ/mol of atoms): -117.5
Symmetry: P4/mmm (123)
V (Å³ per atom): 56.40

a b c (Å): 6.673 6.673 6.332
angles (deg): 90.00 90.00 90.00
Positions (direct):
Cs 0.000 0.500 0.000
I 0.500 0.500 0.500
Hg 0.000 0.000 0.500
Cl 0.000 0.000 0.000
Cs 0.500 0.000 0.000